{"formula": "CaSm2Zn2Ga2", "functional": "PBE", "state": "relaxed", "cell": [[2.2573, 1.3032, 9.4997], [-2.2573, 1.3032, 9.4997], [0.0000, -2.6065, 9.4997]], "species": ["Ca", "Sm", "Sm", "Zn", "Zn", "Ga", "Ga"], "fractional_positions": [[0.0000, 0.0000, 0.0000], [0.1268, 0.1268, 0.1268], [0.8732, 0.8732, 0.8732], [0.4032, 0.4032, 0.4032], [0.5968, 0.5968, 0.5968], [0.2586, 0.2586, 0.2586], [0.7414, 0.7414, 0.7414]], "mass_density_g_cm3": 6.05, "vol_a3_per_cell": 167.67, "n_ef_per_ev_cell": 2.5, "magnetic_moment_mub_per_fu": 0.00, "formation_energy_ev_per_atom": -0.385}